No. 1
Compound: Cs2TiCoS4
Source: Alexandria via LeMat-Bulk
Functional: PBE
Structure: optimized geometry

abc: 5.636 14.210 25.535
angles: 90.00 90.00 90.00
Space group Fddd (No. 70, origin choice 2)
Symmetry-distinct sites (fractional):
1 Cs 0.125 0.125 0.300 x16
2 Ti 0.125 0.125 0.125 x8
3 Co 0.125 0.125 0.625 x8
4 S 0.124 0.285 0.826 x32

Its raw total energy is -338.55 eV for the cell shown. For the uncorrected formation energy, the calculation gives -1.138 eV/atom.

***

No. 2
Compound: Tb6HgP2Se3
Source: Alexandria via LeMat-Bulk
Functional: PBE
Structure: optimized geometry

abc: 17.951 4.056 8.359
angles: 90.00 103.24 90.00
Space group C2/m (No. 12)
Symmetry-distinct sites (fractional):
1 Tb 0.006 0.000 0.263 x4
2 Tb 0.170 0.500 0.102 x4
3 Tb 0.172 0.500 0.572 x4
4 Hg 0.000 0.500 0.000 x2
5 P 0.168 0.000 0.337 x4
6 Se 0.000 0.500 0.500 x2
7 Se 0.166 0.000 0.832 x4

Its raw total energy is -135.36 eV for the cell shown. For the uncorrected formation energy, the calculation gives -1.527 eV/atom.